VASP calculation (GGA-PBE) on a relaxed Ho7RhI12 crystal.

Calculated values
Energy relative to the elements, uncorrected, eV per atom: -1.225
Electronic total energy, eV per cell: -82.5
D(E_F), states/eV per cell: 2.78

Cell lengths 9.7639, 9.7639, 9.7639 Å; angles 106.79, 106.79, 106.79 degrees
Atoms (fractional coordinates):
Ho (0.9797, 0.7069, 0.9067)
Ho (0.2931, 0.0933, 0.0203)
Ho (0.0933, 0.0203, 0.2931)
Ho (0.5000, 0.5000, 0.5000)
Ho (0.9067, 0.9797, 0.7069)
Ho (0.7069, 0.9067, 0.9797)
Ho (0.0203, 0.2931, 0.0933)
Rh (0.0000, 0.0000, 0.0000)
I (0.9321, 0.3280, 0.7772)
I (0.6720, 0.2228, 0.0679)
I (0.4629, 0.1631, 0.3858)
I (0.8369, 0.6142, 0.5371)
I (0.2228, 0.0679, 0.6720)
I (0.6142, 0.5371, 0.8369)
I (0.3858, 0.4629, 0.1631)
I (0.7772, 0.9321, 0.3280)
I (0.1631, 0.3858, 0.4629)
I (0.5371, 0.8369, 0.6142)
I (0.3280, 0.7772, 0.9321)
I (0.0679, 0.6720, 0.2228)